1.
A plane-wave DFT calculation with GGA-PBE was carried out for crystalline Be3GaAg at its relaxed geometry.

* E above lowest polymorph: 0.000 eV per formula unit
* energy of formation from the pure elements: 0.81 eV per atom
* uncorrected energy: -2.60 eV/atom
* total magnetic moment: 0.00 μB per formula unit
* Fermi-level density of states: 0.227 states/eV per atom

The structure in CIF format:
```
data_Be3GaAg
_chemical_formula_sum 'Be3 Ga1 Ag1'
_cell_length_a 4.221
_cell_length_b 4.221
_cell_length_c 4.221
_cell_angle_alpha 90.00
_cell_angle_beta 90.00
_cell_angle_gamma 90.00
_space_group_name_H-M_alt 'P m -3 m'
_space_group_IT_number 221
_space_group_name_Hall '-P 4 2 3'
loop_
_atom_site_label
_atom_site_fract_x
_atom_site_fract_y
_atom_site_fract_z
Be1 0.000 0.000 0.500
Ga1 0.000 0.000 0.000
Ag1 0.500 0.500 0.500
```


2.
A plane-wave DFT calculation with GGA-PBE was carried out for crystalline BeGaAg2I at its relaxed geometry.

* uncorrected energy: -1.60 eV/atom
* total magnetic moment: 0.00 μB per formula unit
* E_form (uncorrected): 1.204 eV/atom
* Fermi-level density of states: 0.395 states/eV per atom

The structure in CIF format:
```
data_BeGaAg2I
_chemical_formula_sum 'Be1 Ga1 Ag2 I1'
_cell_length_a 5.425
_cell_length_b 5.425
_cell_length_c 6.166
_cell_angle_alpha 90.00
_cell_angle_beta 90.00
_cell_angle_gamma 90.00
_space_group_name_H-M_alt 'P 4/m m m'
_space_group_IT_number 123
_space_group_name_Hall '-P 4 2'
loop_
_atom_site_label
_atom_site_fract_x
_atom_site_fract_y
_atom_site_fract_z
Be1 0.000 0.000 0.000
Ga1 0.500 0.500 0.000
Ag1 0.000 0.500 0.500
I1 0.500 0.500 0.500
```


3.
A plane-wave DFT calculation with GGA-PBE was carried out for crystalline KBeGa2Ag at its relaxed geometry.

* energy of formation from the pure elements: 0.18 eV per atom
* uncorrected energy: -2.57 eV/atom
* total magnetic moment: 0.00 μB per formula unit
* Fermi-level density of states: 0.441 states/eV per atom

The structure in CIF format:
```
data_KBeGa2Ag
_chemical_formula_sum 'K1 Be1 Ga2 Ag1'
_cell_length_a 4.674
_cell_length_b 4.674
_cell_length_c 4.909
_cell_angle_alpha 90.00
_cell_angle_beta 90.00
_cell_angle_gamma 90.00
_space_group_name_H-M_alt 'P 4/m m m'
_space_group_IT_number 123
_space_group_name_Hall '-P 4 2'
loop_
_atom_site_label
_atom_site_fract_x
_atom_site_fract_y
_atom_site_fract_z
K1 0.000 0.000 0.000
Be1 0.500 0.500 0.500
Ga1 0.000 0.500 0.500
Ag1 0.500 0.500 0.000
```


4.
A plane-wave DFT calculation with GGA-PBE was carried out for crystalline LaBe2GaAg at its relaxed geometry.

* energy of formation from the pure elements: 0.29 eV per atom
* uncorrected energy: -3.36 eV/atom
* total magnetic moment: 0.00 μB per formula unit
* Fermi-level density of states: 0.713 states/eV per atom

The structure in CIF format:
```
data_LaBe2GaAg
_chemical_formula_sum 'La1 Be2 Ga1 Ag1'
_cell_length_a 4.497
_cell_length_b 4.497
_cell_length_c 4.912
_cell_angle_alpha 90.00
_cell_angle_beta 90.00
_cell_angle_gamma 90.00
_space_group_name_H-M_alt 'P 4/m m m'
_space_group_IT_number 123
_space_group_name_Hall '-P 4 2'
loop_
_atom_site_label
_atom_site_fract_x
_atom_site_fract_y
_atom_site_fract_z
La1 0.000 0.000 0.000
Be1 0.000 0.500 0.500
Ga1 0.500 0.500 0.500
Ag1 0.500 0.500 0.000
```